CoBr2F, optimized geometry, DFT GGA+U; relative energy among the computed polymorphs = 0.175 eV per atom; final energy = -2.82 eV per atom; space group = I-42d, No. 122; crystal system = tetragonal
1.0
-4.1872 -5.0254 -0.3157
2.1596 -2.1632 5.7917
-4.1848 -1.0854 4.8575
Br F Co
4 2 2
Direct
0.8750 0.9224 0.7500
0.3750 0.3276 0.7500
0.0776 0.6250 0.2500
0.6724 0.1250 0.2500
0.2500 0.7500 0.5000
0.5000 0.5000 0.0000
0.7500 0.2500 0.5000
0.0000 0.0000 0.0000